The following is a DFT calculation (SCAN) of a crystal of Sc3C relaxed with PBEsol.

Cell lengths 4.5787, 10.4381, 3.2600 Å; angles 90.00, 90.00, 90.00 degrees
With the nearest neighbours (Å) after each atom.
Space group Cmmm (No. 65)
One atom of each set of equivalent atoms:
Sc  0.0000  0.0000  0.0000 x2  2 C 2.29
Sc  0.0000  0.3537  0.5000 x4  2 C 2.23
C  0.0000  0.5000  0.0000 x2  6 Sc 2.23-2.29

Values from the calculation:
ΔE_f	-0.337	eV/atom
energy relative to the lowest polymorph listed for this composition	0.019	eV/atom
energy	-108.32	eV/cell